VASP calculation (GGA-PBE) on PrCo9B4 after structural relaxation.

```
PrCo9B4
1.0
6.513 0.000 -3.673
-2.071 6.175 -3.673
-0.067 -0.094 7.493
Pr Co B
2 18 8
Direct
0.750 0.750 0.500
0.250 0.250 0.500
0.194 0.084 0.000
0.806 0.916 0.000
0.694 0.416 0.000
0.306 0.584 0.000
0.416 0.306 0.000
0.584 0.694 0.000
0.084 0.806 0.000
0.916 0.194 0.000
0.000 0.500 0.000
0.500 0.000 0.000
0.817 0.317 0.339
0.522 0.022 0.339
0.978 0.183 0.661
0.683 0.478 0.661
0.183 0.683 0.661
0.478 0.978 0.661
0.317 0.522 0.339
0.022 0.817 0.339
0.290 0.790 0.290
0.000 0.500 0.290
0.500 0.710 0.710
0.210 0.000 0.710
0.710 0.210 0.710
0.000 0.500 0.710
0.790 0.000 0.290
0.500 0.290 0.290
```

## Properties
The theoretical density is 8.0 g cm⁻³. The uncorrected energy is -6.99 eV per atom. For the volume, the calculation gives 10.60 Å³/atom. The value obtained for the formation energy from the elements is -2.4 eV/f.u.